Version A
VASP calculation (PBE) on PmHo3Pb2 after structural relaxation.

Output
**Crystal system**: tetragonal
**Total magnetization**: 0.00 μB/atom
**V**: 179.6 Å³/cell

The structure in CIF format:
```
data_PmHo3Pb2
_cell_length_a 4.5649
_cell_length_b 4.5649
_cell_length_c 8.6166
_cell_angle_alpha 90.00
_cell_angle_beta 90.00
_cell_angle_gamma 90.00
_space_group_name_H-M_alt 'P -4 m 2'
_space_group_IT_number 115
loop_
_space_group_symop_operation_xyz
'x,y,z'
'y,-x,-z'
'-x,-y,z'
'-y,x,-z'
'-x,y,z'
'-y,-x,-z'
'x,-y,z'
'y,x,-z'
loop_
_atom_site_label
_atom_site_fract_x
_atom_site_fract_y
_atom_site_fract_z
_atom_site_occupancy
Pm1 0.0000 0.0000 0.0000 1
Ho1 0.0000 0.5000 0.3427 1
Ho2 0.5000 0.5000 0.0000 1
Pb1 0.0000 0.5000 0.7110 1
```

Version B
VASP calculation (PBE) on PmHo3Pb2 after structural relaxation.

Output
**Crystal system**: orthorhombic
**Total magnetization**: 0.00 μB/atom
**V**: 816.9 Å³/cell

The structure in CIF format:
```
data_PmHo3Pb2
_cell_length_a 7.4739
_cell_length_b 14.6287
_cell_length_c 7.4714
_cell_angle_alpha 90.00
_cell_angle_beta 90.00
_cell_angle_gamma 90.00
_space_group_name_H-M_alt 'I b a m'
_space_group_IT_number 72
_space_group_name_Hall '-I 2 2c'
loop_
_atom_site_label
_atom_site_fract_x
_atom_site_fract_y
_atom_site_fract_z
_atom_site_occupancy
Pm1 0.0000 0.0000 0.0000 1
Ho1 0.0000 0.2097 0.2500 1
Ho2 0.0000 0.5000 0.2500 1
Pb1 0.1785 0.3564 0.0000 1
```

Of them, version B has the lowest stability.

Version A
VASP calculation (PBE) on Pr3HoPb2 after structural relaxation.

Output
**Crystal system**: tetragonal
**Total magnetization**: 0.00 μB/atom
**V**: 196.7 Å³/cell

The structure in CIF format:
```
data_Pr3HoPb2
_cell_length_a 4.7008
_cell_length_b 4.7008
_cell_length_c 8.8999
_cell_angle_alpha 90.00
_cell_angle_beta 90.00
_cell_angle_gamma 90.00
_space_group_name_H-M_alt 'P -4 m 2'
_space_group_IT_number 115
loop_
_space_group_symop_operation_xyz
'x,y,z'
'y,-x,-z'
'-x,-y,z'
'-y,x,-z'
'-x,y,z'
'-y,-x,-z'
'x,-y,z'
'y,x,-z'
loop_
_atom_site_label
_atom_site_fract_x
_atom_site_fract_y
_atom_site_fract_z
_atom_site_occupancy
Pr1 0.0000 0.0000 0.0000 1
Pr2 0.0000 0.5000 0.6536 1
Ho1 0.5000 0.5000 0.0000 1
Pb1 0.0000 0.5000 0.2799 1
```

Version B
VASP calculation (PBE) on Pr3HoPb2 after structural relaxation.

Output
**Crystal system**: orthorhombic
**Total magnetization**: 0.00 μB/atom
**V**: 377.5 Å³/cell

The structure in CIF format:
```
data_Pr3HoPb2
_cell_length_a 5.0146
_cell_length_b 16.5488
_cell_length_c 4.5491
_cell_angle_alpha 90.00
_cell_angle_beta 90.00
_cell_angle_gamma 90.00
_space_group_name_H-M_alt 'C m m m'
_space_group_IT_number 65
_space_group_name_Hall '-C 2 2'
loop_
_atom_site_label
_atom_site_fract_x
_atom_site_fract_y
_atom_site_fract_z
_atom_site_occupancy
Pr1 0.0000 0.0000 0.0000 1
Pr2 0.0000 0.3235 0.0000 1
Ho1 0.0000 0.5000 0.5000 1
Pb1 0.0000 0.1484 0.5000 1
```

Of them, version B has the lowest stability.

Version A
VASP calculation (PBE) on PrHoTlPb after structural relaxation.

Output
**Crystal system**: tetragonal
**Total magnetization**: 0.00 μB/atom
**V**: 231.6 Å³/cell

The structure in CIF format:
```
data_PrHoTlPb
_cell_length_a 5.0836
_cell_length_b 5.0836
_cell_length_c 8.9634
_cell_angle_alpha 90.00
_cell_angle_beta 90.00
_cell_angle_gamma 90.00
_space_group_name_H-M_alt 'I -4 m 2'
_space_group_IT_number 119
_space_group_name_Hall 'I -4 -2'
loop_
_atom_site_label
_atom_site_fract_x
_atom_site_fract_y
_atom_site_fract_z
_atom_site_occupancy
Pr1 0.0000 0.0000 0.0000 1
Ho1 0.0000 0.0000 0.5000 1
Tl1 0.0000 0.5000 0.2500 1
Pb1 0.0000 0.5000 0.7500 1
```

Version B
VASP calculation (PBE) on PrHoTlPb after structural relaxation.

Output
**Crystal system**: cubic
**Total magnetization**: 0.00 μB/atom
**V**: 468.5 Å³/cell

The structure in CIF format:
```
data_PrHoTlPb
_cell_length_a 7.7666
_cell_length_b 7.7666
_cell_length_c 7.7666
_cell_angle_alpha 90.00
_cell_angle_beta 90.00
_cell_angle_gamma 90.00
_space_group_name_H-M_alt 'F -4 3 m'
_space_group_IT_number 216
_space_group_name_Hall 'F -4 2 3'
loop_
_atom_site_label
_atom_site_fract_x
_atom_site_fract_y
_atom_site_fract_z
_atom_site_occupancy
Pr1 0.0000 0.0000 0.0000 1
Ho1 0.0000 0.0000 0.5000 1
Tl1 0.2500 0.2500 0.7500 1
Pb1 0.2500 0.2500 0.2500 1
```

Of them, version B has the lowest stability.

Version A
VASP calculation (PBE) on Ho2PuPb after structural relaxation.

Output
**Crystal system**: tetragonal
**Total magnetization**: 1.75 μB/atom
**V**: 112.0 Å³/cell

The structure in CIF format:
```
data_Ho2PuPb
_cell_length_a 4.9178
_cell_length_b 4.9178
_cell_length_c 4.6299
_cell_angle_alpha 90.00
_cell_angle_beta 90.00
_cell_angle_gamma 90.00
_space_group_name_H-M_alt 'P 4/m m m'
_space_group_IT_number 123
_space_group_name_Hall '-P 4 2'
loop_
_atom_site_label
_atom_site_fract_x
_atom_site_fract_y
_atom_site_fract_z
_atom_site_occupancy
Ho1 0.0000 0.5000 0.0000 1
Pu1 0.0000 0.0000 0.5000 1
Pb1 0.5000 0.5000 0.5000 1
```

Version B
VASP calculation (PBE) on Ho2PuPb after structural relaxation.

Output
**Crystal system**: tetragonal
**Total magnetization**: 1.55 μB/atom
**V**: 115.0 Å³/cell

The structure in CIF format:
```
data_Ho2PuPb
_cell_length_a 3.5579
_cell_length_b 3.5579
_cell_length_c 9.0881
_cell_angle_alpha 90.00
_cell_angle_beta 90.00
_cell_angle_gamma 90.00
_space_group_name_H-M_alt 'P 4/m m m'
_space_group_IT_number 123
_space_group_name_Hall '-P 4 2'
loop_
_atom_site_label
_atom_site_fract_x
_atom_site_fract_y
_atom_site_fract_z
_atom_site_occupancy
Ho1 0.0000 0.0000 0.2399 1
Pu1 0.5000 0.5000 0.5000 1
Pb1 0.5000 0.5000 0.0000 1
```

Of them, version B has the lowest stability.

Version A
VASP calculation (PBE) on HoPuRuPb after structural relaxation.

Output
**Crystal system**: tetragonal
**Total magnetization**: 1.22 μB/atom
**V**: 95.9 Å³/cell

The structure in CIF format:
```
data_HoPuRuPb
_cell_length_a 3.3318
_cell_length_b 3.3318
_cell_length_c 8.6387
_cell_angle_alpha 90.00
_cell_angle_beta 90.00
_cell_angle_gamma 90.00
_space_group_name_H-M_alt 'P 4 m m'
_space_group_IT_number 99
loop_
_space_group_symop_operation_xyz
'x,y,z'
'-y,x,z'
'-x,-y,z'
'y,-x,z'
'-x,y,z'
'y,x,z'
'x,-y,z'
'-y,-x,z'
loop_
_atom_site_label
_atom_site_fract_x
_atom_site_fract_y
_atom_site_fract_z
_atom_site_occupancy
Ho1 0.0000 0.0000 0.0000 1
Pu1 0.0000 0.0000 0.6017 1
Ru1 0.5000 0.5000 0.8007 1
Pb1 0.5000 0.5000 0.2983 1
```

Version B
VASP calculation (PBE) on HoPuRuPb after structural relaxation.

Output
**Crystal system**: cubic
**Total magnetization**: 1.26 μB/atom
**V**: 379.1 Å³/cell

The structure in CIF format:
```
data_HoPuRuPb
_cell_length_a 7.2374
_cell_length_b 7.2374
_cell_length_c 7.2374
_cell_angle_alpha 90.00
_cell_angle_beta 90.00
_cell_angle_gamma 90.00
_space_group_name_H-M_alt 'F -4 3 m'
_space_group_IT_number 216
_space_group_name_Hall 'F -4 2 3'
loop_
_atom_site_label
_atom_site_fract_x
_atom_site_fract_y
_atom_site_fract_z
_atom_site_occupancy
Ho1 0.0000 0.0000 0.0000 1
Pu1 0.0000 0.0000 0.5000 1
Ru1 0.2500 0.2500 0.2500 1
Pb1 0.2500 0.2500 0.7500 1
```

Of them, version B has the lowest stability.

Version A
VASP calculation (PBE) on HoPuTlPb after structural relaxation.

Output
**Crystal system**: cubic
**Total magnetization**: 1.56 μB/atom
**V**: 448.5 Å³/cell

The structure in CIF format:
```
data_HoPuTlPb
_cell_length_a 7.6545
_cell_length_b 7.6545
_cell_length_c 7.6545
_cell_angle_alpha 90.00
_cell_angle_beta 90.00
_cell_angle_gamma 90.00
_space_group_name_H-M_alt 'F -4 3 m'
_space_group_IT_number 216
_space_group_name_Hall 'F -4 2 3'
loop_
_atom_site_label
_atom_site_fract_x
_atom_site_fract_y
_atom_site_fract_z
_atom_site_occupancy
Ho1 0.0000 0.0000 0.0000 1
Pu1 0.0000 0.0000 0.5000 1
Tl1 0.2500 0.2500 0.7500 1
Pb1 0.2500 0.2500 0.2500 1
```

Version B
VASP calculation (PBE) on HoPuTlPb after structural relaxation.

Output
**Crystal system**: tetragonal
**Total magnetization**: 1.54 μB/atom
**V**: 109.8 Å³/cell

The structure in CIF format:
```
data_HoPuTlPb
_cell_length_a 3.4562
_cell_length_b 3.4562
_cell_length_c 9.1937
_cell_angle_alpha 90.00
_cell_angle_beta 90.00
_cell_angle_gamma 90.00
_space_group_name_H-M_alt 'P 4 m m'
_space_group_IT_number 99
loop_
_space_group_symop_operation_xyz
'x,y,z'
'-y,x,z'
'-x,-y,z'
'y,-x,z'
'-x,y,z'
'y,x,z'
'x,-y,z'
'-y,-x,z'
loop_
_atom_site_label
_atom_site_fract_x
_atom_site_fract_y
_atom_site_fract_z
_atom_site_occupancy
Ho1 0.0000 0.0000 0.0000 1
Pu1 0.0000 0.0000 0.4964 1
Tl1 0.5000 0.5000 0.2443 1
Pb1 0.5000 0.5000 0.7527 1
```

Of them, version A has the lowest stability.

Version A
VASP calculation (PBE) on RbHoPb2 after structural relaxation.

Output
**Crystal system**: tetragonal
**Total magnetization**: 0.00 μB/atom
**V**: 142.3 Å³/cell

The structure in CIF format:
```
data_RbHoPb2
_cell_length_a 4.1215
_cell_length_b 4.1215
_cell_length_c 8.3773
_cell_angle_alpha 90.00
_cell_angle_beta 90.00
_cell_angle_gamma 90.00
_space_group_name_H-M_alt 'P 4/m m m'
_space_group_IT_number 123
_space_group_name_Hall '-P 4 2'
loop_
_atom_site_label
_atom_site_fract_x
_atom_site_fract_y
_atom_site_fract_z
_atom_site_occupancy
Rb1 0.0000 0.0000 0.0000 1
Ho1 0.0000 0.0000 0.5000 1
Pb1 0.5000 0.5000 0.3122 1
```

Version B
VASP calculation (PBE) on RbHoPb2 after structural relaxation.

Output
**Crystal system**: trigonal
**Total magnetization**: 0.00 μB/atom
**V**: 416.8 Å³/cell

The structure in CIF format:
```
data_RbHoPb2
_cell_length_a 3.8046
_cell_length_b 3.8046
_cell_length_c 33.2502
_cell_angle_alpha 90.00
_cell_angle_beta 90.00
_cell_angle_gamma 120.00
_space_group_name_H-M_alt 'R -3 m'
_space_group_IT_number 166
_space_group_name_Hall '-R 3 2"'
loop_
_atom_site_label
_atom_site_fract_x
_atom_site_fract_y
_atom_site_fract_z
_atom_site_occupancy
Rb1 0.0000 0.0000 0.0000 1
Ho1 0.0000 0.0000 0.5000 1
Pb1 0.0000 0.0000 0.2413 1
```

Of them, version B has the lowest stability.

Version A
VASP calculation (PBE) on Ho2RhPb after structural relaxation.

Output
**Crystal system**: tetragonal
**Total magnetization**: 0.00 μB/atom
**V**: 94.5 Å³/cell

The structure in CIF format:
```
data_Ho2RhPb
_cell_length_a 4.9125
_cell_length_b 4.9125
_cell_length_c 3.9173
_cell_angle_alpha 90.00
_cell_angle_beta 90.00
_cell_angle_gamma 90.00
_space_group_name_H-M_alt 'P 4/m m m'
_space_group_IT_number 123
_space_group_name_Hall '-P 4 2'
loop_
_atom_site_label
_atom_site_fract_x
_atom_site_fract_y
_atom_site_fract_z
_atom_site_occupancy
Ho1 0.0000 0.5000 0.0000 1
Rh1 0.0000 0.0000 0.5000 1
Pb1 0.5000 0.5000 0.5000 1
```

Version B
VASP calculation (PBE) on Ho2RhPb after structural relaxation.

Output
**Crystal system**: trigonal
**Total magnetization**: 0.00 μB/atom
**V**: 319.9 Å³/cell

The structure in CIF format:
```
data_Ho2RhPb
_cell_length_a 3.7882
_cell_length_b 3.7882
_cell_length_c 25.7437
_cell_angle_alpha 90.00
_cell_angle_beta 90.00
_cell_angle_gamma 120.00
_space_group_name_H-M_alt 'R -3 m'
_space_group_IT_number 166
_space_group_name_Hall '-R 3 2"'
loop_
_atom_site_label
_atom_site_fract_x
_atom_site_fract_y
_atom_site_fract_z
_atom_site_occupancy
Ho1 0.0000 0.0000 0.2311 1
Rh1 0.0000 0.0000 0.5000 1
Pb1 0.0000 0.0000 0.0000 1
```

Of them, version A has the lowest stability.